# 1
Crystalline Y4Bi3O at its relaxed geometry. Source: the Alexandria database, functional PBE-GGA.

The calculation puts the density of states at the Fermi level at 6.05 states/eV/cell. The uncorrected formation energy is -9.8 eV/f.u. The value obtained for the total energy is -6.529 eV/atom. As for the total magnetization: 0.000 μB per atom. Its crystal system is orthorhombic.

The space group is Pmn2_1 (No. 31) and the conventional cell measures 12.1723, 6.2960 and 6.2943 Å, with angles of 90.00, 90.00 and 90.00 degrees. The distinct sites, in fractional coordinates, are Y at (0.0000, 0.1479, 0.0000), Y at (0.0000, 0.7481, 0.6023), Y at (0.2462, 0.7630, 0.9948), Bi at (0.0000, 0.2474, 0.5001), Bi at (0.2495, 0.2627, 0.9941) and O at (0.0000, 0.8192, 0.9308).

# 2
Crystalline CrNiHIr at its relaxed geometry. Source: the Alexandria database, functional PBE-GGA.

The calculation puts the density of states at the Fermi level at 9.56 states/eV/cell. The value obtained for the total energy is -7.002 eV/atom. As for the total magnetization: 0.000 μB per atom. Its crystal system is trigonal. As for the energy above the lowest structure with this stoichiometry: 0.00 eV per formula unit.

The space group is R3m (No. 160, hexagonal axes) and the conventional cell measures 2.6841, 2.6841 and 18.9702 Å, with angles of 90.00, 90.00 and 120.00 degrees. The distinct sites, in fractional coordinates, are Cr at (0.0000, 0.0000, 0.0000), Ni at (0.0000, 0.0000, 0.5563), H at (0.0000, 0.0000, 0.2748) and Ir at (0.0000, 0.0000, 0.7722).